1.
CsKGa2Pt: relaxed, PBE.

Properties
raw total energy: -1.87 eV/atom
V: 213 Å³ per cell
excess energy over the best structure of this formula in the dataset: 1140 meV/atom
energy relative to the elements: 0.935 eV per atom

a b c (Å): 6.157 6.157 5.628
angles (deg): 90.00 90.00 90.00
Space group P4/mmm (No. 123)
Symmetry-distinct sites (fractional):
Cs 0.000 0.000 0.000 (multiplicity 1)
K 0.500 0.500 0.500 (multiplicity 1)
Ga 0.000 0.500 0.000 (multiplicity 2)
Pt 0.000 0.000 0.500 (multiplicity 1)

***

2.
CsKGa2Pt: relaxed, PBE.

Properties
raw total energy: -3.01 eV/atom
V: 152 Å³ per cell
excess energy over the best structure of this formula in the dataset: 0 meV/atom
energy relative to the elements: -0.205 eV per atom

a b c (Å): 4.960 4.960 6.197
angles (deg): 90.00 90.00 90.00
Space group P4/mmm (No. 123)
Symmetry-distinct sites (fractional):
Cs 0.000 0.000 0.000 (multiplicity 1)
K 0.500 0.500 0.000 (multiplicity 1)
Ga 0.000 0.500 0.500 (multiplicity 2)
Pt 0.500 0.500 0.500 (multiplicity 1)

***

3.
CsK2RbGa: relaxed, PBE.

Properties
raw total energy: -1.30 eV/atom
V: 346 Å³ per cell
energy relative to the elements: 0.104 eV per atom

a b c (Å): 6.955 6.955 7.150
angles (deg): 90.00 90.00 90.00
Space group P4/mmm (No. 123)
Symmetry-distinct sites (fractional):
Cs 0.000 0.000 0.000 (multiplicity 1)
K 0.000 0.500 0.500 (multiplicity 2)
Rb 0.500 0.500 0.000 (multiplicity 1)
Ga 0.500 0.500 0.500 (multiplicity 1)

***

4.
Cs2KGaRh: relaxed, PBE.

Properties
raw total energy: -1.74 eV/atom
V: 250 Å³ per cell
energy relative to the elements: 0.896 eV per atom

a b c (Å): 6.988 6.988 5.110
angles (deg): 90.00 90.00 90.00
Space group P4/mmm (No. 123)
Symmetry-distinct sites (fractional):
Cs 0.000 0.500 0.000 (multiplicity 2)
K 0.000 0.000 0.000 (multiplicity 1)
Ga 0.500 0.500 0.500 (multiplicity 1)
Rh 0.000 0.000 0.500 (multiplicity 1)

***

5.
Cs4K2GaSb2: relaxed, PBE.

Properties
raw total energy: -2.06 eV/atom
V: 1068 Å³ per cell
energy relative to the elements, uncorrected: -4.320 kcal/mol of atoms

a b c (Å): 14.893 11.547 6.375
angles (deg): 90.00 103.13 90.00
Space group C2/m (No. 12)
Symmetry-distinct sites (fractional):
Cs 0.139 0.210 0.220 (multiplicity 8)
K 0.111 0.500 0.775 (multiplicity 4)
Ga 0.000 0.000 0.500 (multiplicity 2)
Sb 0.167 0.000 0.728 (multiplicity 4)

***

6.
CsKGaSb2: relaxed, PBE.

Properties
raw total energy: -2.79 eV/atom
V: 361 Å³ per cell
energy relative to the elements, uncorrected: -3.431 kcal/mol of atoms

a b c (Å): 6.801 7.086 7.483
angles (deg): 90.00 90.00 90.00
Space group Pmma (No. 51)
Symmetry-distinct sites (fractional):
Cs 0.250 0.000 0.227 (multiplicity 2)
K 0.250 0.500 0.098 (multiplicity 2)
Ga 0.000 0.500 0.500 (multiplicity 2)
Sb 0.250 0.237 0.690 (multiplicity 4)

***

7.
CsK2Ga2Sb2: relaxed, PBE.

Properties
raw total energy: -2.84 eV/atom
V: 609 Å³ per cell
energy relative to the elements, uncorrected: -8.343 kcal/mol of atoms

a b c (Å): 13.048 4.451 10.543
angles (deg): 90.00 95.75 90.00
Space group C2/m (No. 12)
Symmetry-distinct sites (fractional):
Cs 0.000 0.000 0.000 (multiplicity 2)
K 0.178 0.500 0.641 (multiplicity 4)
Ga 0.035 0.000 0.396 (multiplicity 4)
Sb 0.103 0.500 0.287 (multiplicity 4)

***

8.
Cs6K3GaSb4: relaxed, PBE.

Properties
raw total energy: -2.44 eV/atom
V: 1265 Å³ per cell
energy relative to the elements, uncorrected: -10.274 kcal/mol of atoms

a b c (Å): 11.1784 11.1784 11.6869
angles (deg): 90.00 90.00 120.00
Space group P6_3/mmc (No. 194)
Symmetry-distinct sites (fractional):
Cs 0.2090 0.4180 0.0422 (multiplicity 12)
K 0.1195 0.2389 0.7500 (multiplicity 6)
Ga 0.3333 0.6667 0.7500 (multiplicity 2)
Sb 0.0000 0.0000 0.0000 (multiplicity 2)
Sb 0.0554 0.5277 0.7500 (multiplicity 6)

***

9.
CsKGaSb: relaxed, PBE.

Properties
raw total energy: -2.56 eV/atom
V: 348 Å³ per cell
energy relative to the elements, uncorrected: -6.651 kcal/mol of atoms

a b c (Å): 4.446 5.653 13.860
angles (deg): 90.00 90.00 90.00
Space group Amm2 (No. 38)
Symmetry-distinct sites (fractional):
Cs 0.000 0.000 0.000 (multiplicity 2)
K 0.500 0.000 0.709 (multiplicity 2)
Ga 0.000 0.000 0.282 (multiplicity 2)
Sb 0.500 0.000 0.402 (multiplicity 2)

***

10.
CsK2GaSn: relaxed, PBE.

Properties
raw total energy: -2.02 eV/atom
V: 242 Å³ per cell
energy relative to the elements: -0.007 eV per atom

a b c (Å): 6.651 6.651 5.471
angles (deg): 90.00 90.00 90.00
Space group P4/mmm (No. 123)
Symmetry-distinct sites (fractional):
Cs 0.000 0.000 0.000 (multiplicity 1)
K 0.000 0.500 0.500 (multiplicity 2)
Ga 0.500 0.500 0.500 (multiplicity 1)
Sn 0.500 0.500 0.000 (multiplicity 1)

***

11.
CsK2TlGa: relaxed, PBE.

Properties
raw total energy: -1.63 eV/atom
V: 253 Å³ per cell
excess energy over the best structure of this formula in the dataset: 0 meV/atom
energy relative to the elements: 0.063 eV per atom

a b c (Å): 6.849 6.849 5.387
angles (deg): 90.00 90.00 90.00
Space group P4/mmm (No. 123)
Symmetry-distinct sites (fractional):
Cs 0.000 0.000 0.000 (multiplicity 1)
K 0.000 0.500 0.500 (multiplicity 2)
Tl 0.500 0.500 0.000 (multiplicity 1)
Ga 0.500 0.500 0.500 (multiplicity 1)

***

12.
CsKTl2Ga: relaxed, PBE.

Properties
raw total energy: -1.89 eV/atom
V: 220 Å³ per cell
energy relative to the elements: 0.048 eV per atom

a b c (Å): 5.877 5.877 6.373
angles (deg): 90.00 90.00 90.00
Space group P4/mmm (No. 123)
Symmetry-distinct sites (fractional):
Cs 0.000 0.000 0.000 (multiplicity 1)
K 0.500 0.500 0.000 (multiplicity 1)
Tl 0.000 0.500 0.500 (multiplicity 2)
Ga 0.500 0.500 0.500 (multiplicity 1)